CuW3Au (GGA-PBE, relaxed); crystal system = cubic; mass density = 11.96 g cm⁻³; formation energy = 2880 meV/atom; electronic total energy = -6.367 eV per atom; total magnetization = 0.000 μB per formula unit
1.0
4.8316 0.0000 0.0000
0.0000 4.8316 0.0000
0.0000 0.0000 4.8316
W Cu Au
3 1 1
Direct
0.5000 0.0000 0.0000
0.0000 0.5000 0.0000
0.0000 0.0000 0.5000
0.5000 0.5000 0.5000
0.0000 0.0000 0.0000